Here is a geometry-optimized TmAl2Ge structure from Alexandria. Energies are from PBE.

Properties
- total magnetic moment (μB/cell) = 0.00
- ΔH_f (0 K) (eV per atom) = -0.406
- VASP energy (eV/cell) = -18.2
- DOS(E_F) (states/eV per atom) = 0.2407

The structure in POSCAR format:
```
TmAl2Ge
1.0
4.1831 0.0000 0.0000
0.0000 4.1831 0.0000
0.0000 0.0000 4.3436
Tm Al Ge
1 2 1
Direct
0.0000 0.0000 0.0000
0.0000 0.5000 0.5000
0.5000 0.0000 0.5000
0.5000 0.5000 0.0000
```


Here is a geometry-optimized Pr2GaOs structure from Alexandria. Energies are from PBE.

Properties
- total magnetic moment (μB/cell) = 0.00
- ΔH_f (0 K) (eV per atom) = 0.335
- VASP energy (eV/cell) = -22.5
- DOS(E_F) (states/eV per atom) = 0.9169

The structure in POSCAR format:
```
Pr2GaOs
1.0
2.0274 1.1705 9.7378
-2.0274 1.1705 9.7378
0.0000 -2.3411 9.7378
Pr Ga Os
2 1 1
Direct
0.1120 0.1120 0.1120
0.8880 0.8880 0.8880
0.0000 0.0000 0.0000
0.5000 0.5000 0.5000
```


Here is a geometry-optimized MgHgGeN2 structure from Alexandria. Energies are from PBE.

Properties
- total magnetic moment (μB/cell) = 0.78
- VASP energy (eV/cell) = -18.0
- DOS(E_F) (states/eV per atom) = 0.5157
- energy relative to the elements, uncorrected (kcal/mol of atoms) = 23.71

The structure in POSCAR format:
```
MgHgGeN2
1.0
3.8372 0.0000 0.0000
0.0000 3.8372 0.0000
0.0000 0.0000 5.7813
Mg Hg Ge N
1 1 1 2
Direct
0.0000 0.0000 0.0000
0.5000 0.5000 0.0000
0.5000 0.5000 0.5000
0.0000 0.5000 0.5000
0.5000 0.0000 0.5000
```


Here is a geometry-optimized NaPm3Sn2 structure from Alexandria. Energies are from PBE.

Properties
- total magnetic moment (μB/cell) = 0.00
- ΔH_f (0 K) (eV per atom) = -0.262
- VASP energy (eV/cell) = -50.3
- DOS(E_F) (states/eV per atom) = 0.4338

The structure in POSCAR format:
```
NaPm3Sn2
1.0
-4.3946 6.7827 3.8995
4.3946 -6.7827 3.8995
4.3946 6.7827 -3.8995
Na Pm Sn
2 6 4
Direct
0.4983 0.2483 0.2500
0.5017 0.7517 0.7500
0.0000 0.0000 0.5000
0.0000 0.2503 0.2503
0.0000 0.5000 0.0000
0.0000 0.7497 0.7497
0.5000 0.2503 0.7503
0.5000 0.7497 0.2497
0.1658 0.2495 0.9163
0.1667 0.7505 0.4163
0.8333 0.2495 0.5837
0.8342 0.7505 0.0837
```


Here is a geometry-optimized ScSnF6 structure from Alexandria. Energies are from PBE.

Properties
- total magnetic moment (μB/cell) = 0.00
- VASP energy (eV/cell) = -45.6
- DOS(E_F) (states/eV per atom) = 0.4340
- energy relative to the elements, uncorrected (kcal/mol of atoms) = -69.36

The structure in POSCAR format:
```
ScSnF6
1.0
2.6937 -4.3627 0.0000
2.6937 4.3627 0.0000
-1.1420 0.0000 5.2484
Sc Sn F
1 1 6
Direct
0.0000 0.0000 0.0000
0.5000 0.5000 0.5000
0.0830 0.3811 0.2427
0.2497 0.2497 0.7651
0.3811 0.0830 0.2427
0.6189 0.9170 0.7573
0.7503 0.7503 0.2349
0.9170 0.6189 0.7573
```


Here is a geometry-optimized Ti4ZnGa structure from Alexandria. Energies are from PBE.

Properties
- total magnetic moment (μB/cell) = 0.00
- ΔH_f (0 K) (eV per atom) = -0.105
- VASP energy (eV/cell) = -146.0
- DOS(E_F) (states/eV per atom) = 1.2279

The structure in POSCAR format:
```
Ti4ZnGa
1.0
10.0230 0.0000 0.0000
0.0000 14.4116 0.0000
0.0000 0.0000 2.6857
Ti Zn Ga
16 4 4
Direct
0.0013 0.2501 0.0000
0.1222 0.5698 0.0000
0.1261 0.9305 0.0000
0.2496 0.2498 0.0000
0.2504 0.7498 0.0000
0.3739 0.4305 0.0000
0.3778 0.0698 0.0000
0.4987 0.7501 0.0000
0.5013 0.2499 0.0000
0.6222 0.9302 0.0000
0.6261 0.5695 0.0000
0.7496 0.2502 0.0000
0.7504 0.7502 0.0000
0.8739 0.0695 0.0000
0.8778 0.4302 0.0000
0.9987 0.7499 0.0000
0.1254 0.1006 0.5000
0.3746 0.6006 0.5000
0.6254 0.3994 0.5000
0.8746 0.8994 0.5000
0.1261 0.3989 0.5000
0.3739 0.8989 0.5000
0.6261 0.1011 0.5000
0.8739 0.6011 0.5000
```


Here is a geometry-optimized Nd5In11Ni6 structure from Alexandria. Energies are from PBE.

Properties
- total magnetic moment (μB/cell) = 0.00
- ΔH_f (0 K) (eV per atom) = -0.414
- VASP energy (eV/cell) = -97.8
- DOS(E_F) (states/eV per atom) = 0.4530

The structure in POSCAR format:
```
Nd5In11Ni6
1.0
7.3442 -7.3646 0.0000
7.3442 7.3646 0.0000
0.0000 0.0000 4.4263
Nd In Ni
5 11 6
Direct
0.0000 0.0000 0.0000
0.1904 0.4637 0.5000
0.4637 0.1904 0.5000
0.5363 0.8096 0.5000
0.8096 0.5363 0.5000
0.0358 0.6506 0.0000
0.1944 0.8056 0.5000
0.2250 0.2250 0.0000
0.3400 0.6600 0.0000
0.3494 0.9642 0.0000
0.5000 0.5000 0.5000
0.6506 0.0358 0.0000
0.6600 0.3400 0.0000
0.7750 0.7750 0.0000
0.8056 0.1944 0.5000
0.9642 0.3494 0.0000
0.0549 0.2210 0.5000
0.2210 0.0549 0.5000
0.4058 0.4058 0.0000
0.5942 0.5942 0.0000
0.7790 0.9451 0.5000
0.9451 0.7790 0.5000
```


Here is a geometry-optimized Co2RhBr structure from Alexandria. Energies are from PBE.

Properties
- total magnetic moment (μB/cell) = 4.08
- VASP energy (eV/cell) = -20.5
- DOS(E_F) (states/eV per atom) = 1.2864
- energy relative to the elements, uncorrected (kcal/mol of atoms) = 15.63

The structure in POSCAR format:
```
Co2RhBr
1.0
-1.4809 2.1880 4.3603
1.4809 -2.1880 4.3603
1.4809 2.1880 -4.3603
Co Rh Br
2 1 1
Direct
0.2350 0.2350 0.0000
0.7650 0.7650 0.0000
0.5000 0.0000 0.5000
0.0000 0.5000 0.5000
```


Here is a geometry-optimized Mn2Co6C structure from Alexandria. Energies are from PBE.

Properties
- total magnetic moment (μB/cell) = 10.13
- ΔH_f (0 K) (eV per atom) = 0.040
- VASP energy (eV/cell) = -69.8
- DOS(E_F) (states/eV per atom) = 1.3719

The structure in POSCAR format:
```
Mn2Co6C
1.0
-2.5610 2.5610 3.6055
2.5610 -2.5610 3.6055
2.5610 2.5610 -3.6055
Mn Co C
2 6 1
Direct
0.2500 0.7500 0.5000
0.7500 0.2500 0.5000
0.2411 0.2411 0.0000
0.2419 0.2419 0.4839
0.2419 0.7581 0.0000
0.7581 0.2419 0.0000
0.7581 0.7581 0.5161
0.7589 0.7589 0.0000
0.5000 0.5000 0.0000
```


Here is a geometry-optimized Zr2Ti2Nb structure from Alexandria. Energies are from PBE.

Properties
- total magnetic moment (μB/cell) = 0.00
- ΔH_f (0 K) (eV per atom) = 0.216
- VASP energy (eV/cell) = -83.7
- DOS(E_F) (states/eV per atom) = 2.0026

The structure in POSCAR format:
```
Zr2Ti2Nb
1.0
7.2184 0.0000 0.0000
0.0000 7.2184 0.0000
0.0000 0.0000 3.8760
Zr Ti Nb
4 4 2
Direct
0.1595 0.3405 0.0000
0.3405 0.8405 0.0000
0.6595 0.1595 0.0000
0.8405 0.6595 0.0000
0.1421 0.6421 0.5000
0.3579 0.1421 0.5000
0.6421 0.8579 0.5000
0.8579 0.3579 0.5000
0.0000 0.0000 0.5000
0.5000 0.5000 0.5000
```


Here is a geometry-optimized PaGeRh4S8 structure from Alexandria. Energies are from PBE.

Properties
- total magnetic moment (μB/cell) = 0.00
- VASP energy (eV/cell) = -85.2
- DOS(E_F) (states/eV per atom) = 0.4186
- energy relative to the elements, uncorrected (kcal/mol of atoms) = -14.19

The structure in POSCAR format:
```
PaGeRh4S8
1.0
3.6726 2.1204 5.7681
-3.6726 2.1204 5.7681
0.0000 -4.2408 5.7681
Pa Ge Rh S
1 1 4 8
Direct
0.0000 0.0000 0.0000
0.3822 0.3822 0.3822
0.0044 0.0044 0.5191
0.0044 0.5191 0.0044
0.5191 0.0044 0.0044
0.6375 0.6375 0.6375
0.2417 0.2417 0.2417
0.2482 0.7470 0.7470
0.2642 0.2642 0.7880
0.2642 0.7880 0.2642
0.7470 0.2482 0.7470
0.7470 0.7470 0.2482
0.7691 0.7691 0.7691
0.7880 0.2642 0.2642
```


Here is a geometry-optimized Zr5TiBi4 structure from Alexandria. Energies are from PBE.

Properties
- total magnetic moment (μB/cell) = 0.00
- ΔH_f (0 K) (eV per atom) = 0.065
- VASP energy (eV/cell) = -65.5
- DOS(E_F) (states/eV per atom) = 0.8297

The structure in POSCAR format:
```
Zr5TiBi4
1.0
8.8834 -1.6851 0.0000
8.8834 1.6851 0.0000
-2.7066 0.0000 8.6149
Zr Ti Bi
5 1 4
Direct
0.0000 0.0000 0.0000
0.3110 0.3110 0.1268
0.3341 0.3341 0.7899
0.6659 0.6659 0.2101
0.6890 0.6890 0.8732
0.0000 0.0000 0.5000
0.1701 0.1701 0.5473
0.4944 0.4944 0.2565
0.5056 0.5056 0.7435
0.8299 0.8299 0.4527
```


Here is a geometry-optimized HgTeAs2 structure from Alexandria. Energies are from PBE.

Properties
- total magnetic moment (μB/cell) = 0.00
- VASP energy (eV/cell) = -12.0
- DOS(E_F) (states/eV per atom) = 0.4520
- energy relative to the elements, uncorrected (kcal/mol of atoms) = 4.13

The structure in POSCAR format:
```
HgTeAs2
1.0
4.0741 -4.0739 0.0000
4.0741 4.0739 0.0000
-0.0747 0.0000 3.0199
Hg Te As
1 1 2
Direct
0.0000 0.0000 0.0000
0.5000 0.5000 0.0000
0.0000 0.5000 0.0000
0.5000 0.0000 0.0000
```


Here is a geometry-optimized CsRbLiSn2 structure from Alexandria. Energies are from PBE.

Properties
- total magnetic moment (μB/cell) = 0.01
- ΔH_f (0 K) (eV per atom) = -0.008
- VASP energy (eV/cell) = -11.8
- DOS(E_F) (states/eV per atom) = 1.2635

The structure in POSCAR format:
```
CsRbLiSn2
1.0
5.3800 0.0000 0.0000
0.0000 5.3800 0.0000
0.0000 0.0000 6.3088
Cs Rb Li Sn
1 1 1 2
Direct
0.0000 0.0000 0.0000
0.5000 0.5000 0.0000
0.5000 0.5000 0.5000
0.0000 0.5000 0.5000
0.5000 0.0000 0.5000
```


Here is a geometry-optimized EuEr2Cd structure from Alexandria. Energies are from PBE.

Properties
- total magnetic moment (μB/cell) = 7.91
- ΔH_f (0 K) (eV per atom) = -0.074
- VASP energy (eV/cell) = -20.6
- DOS(E_F) (states/eV per atom) = 1.2791

The structure in POSCAR format:
```
EuEr2Cd
1.0
3.6195 0.0000 0.0000
0.0000 3.6195 0.0000
0.0000 0.0000 9.3090
Eu Er Cd
1 2 1
Direct
0.0000 0.0000 0.0000
0.5000 0.5000 0.2903
0.5000 0.5000 0.7097
0.0000 0.0000 0.5000
```


Here is a geometry-optimized DyCd2Pd5 structure from Alexandria. Energies are from PBE.

Properties
- total magnetic moment (μB/cell) = 0.00
- ΔH_f (0 K) (eV per atom) = -0.610
- VASP energy (eV/cell) = -37.3
- DOS(E_F) (states/eV per atom) = 0.3560

The structure in POSCAR format:
```
DyCd2Pd5
1.0
-2.1064 2.1064 7.9240
2.1064 -2.1064 7.9240
2.1064 2.1064 -7.9240
Dy Cd Pd
1 2 5
Direct
0.0000 0.0000 0.0000
0.2520 0.2520 0.0000
0.7480 0.7480 0.0000
0.1276 0.6276 0.5000
0.3724 0.8724 0.5000
0.5000 0.5000 0.0000
0.6276 0.1276 0.5000
0.8724 0.3724 0.5000
```